Entry from the Alexandria database: crystalline Pr3Nd3Tl2 at its relaxed geometry (PBE).

Computed properties:
Its density is 8.3 g/cm³. The value obtained for the excess energy over the best structure of this formula in the dataset is 0.00 eV per formula unit. Its energy of formation from the pure elements is -0.207 eV per atom. The electronic total energy comes out at -4.3788 eV per atom.

Cell: 5.0030 5.0140 10.0482 Å, 90.00 90.00 90.00°
Space group Pmmm (No. 47)
Unique sites:
1 Pr 0.0000 0.0000 0.0000
2 Pr 0.0000 0.0000 0.5000
3 Pr 0.5000 0.5000 0.0000
4 Nd 0.5000 0.0000 0.2504
5 Nd 0.5000 0.5000 0.5000
6 Tl 0.0000 0.5000 0.2511